(1)
{"formula": "Ba2FePdPb", "functional": "PBE", "state": "relaxed", "e_tot_ev_per_atom": -4.003, "m_tot_mub_per_fu": 0.00, "lattice_angstrom": [[5.3998, 0.0000, 0.0000], [0.0000, 5.3998, 0.0000], [0.0000, 0.0000, 5.1602]], "species": ["Ba", "Ba", "Fe", "Pd", "Pb"], "fractional_positions": [[0.0000, 0.5000, 0.0000], [0.5000, 0.0000, 0.0000], [0.0000, 0.0000, 0.0000], [0.5000, 0.5000, 0.5000], [0.0000, 0.0000, 0.5000]]}

---

(2)
{"formula": "CsPa2Tl3Se6", "functional": "PBE", "state": "relaxed", "formation_energy_uncorrected_ev_per_atom": -0.999, "e_tot_ev_per_atom": -4.986, "m_tot_mub_per_fu": 2.02, "lattice_angstrom": [[10.3394, -2.1427, 0.0000], [10.3394, 2.1427, 0.0000], [-1.8670, 0.0000, 9.2355]], "species": ["Cs", "Pa", "Pa", "Tl", "Tl", "Tl", "Se", "Se", "Se", "Se", "Se", "Se"], "fractional_positions": [[0.0000, 0.0000, 0.0000], [0.3227, 0.3227, 0.6531], [0.6773, 0.6773, 0.3469], [0.0000, 0.0000, 0.5000], [0.3335, 0.3335, 0.1698], [0.6665, 0.6665, 0.8302], [0.1786, 0.1786, 0.5621], [0.1847, 0.1847, 0.1434], [0.4546, 0.4546, 0.7072], [0.5454, 0.5454, 0.2928], [0.8153, 0.8153, 0.8566], [0.8214, 0.8214, 0.4379]]}

---

(3)
{"formula": "CrAgSb2", "functional": "PBE", "state": "relaxed", "formation_energy_uncorrected_ev_per_atom": 0.206, "e_tot_ev_per_atom": -4.974, "m_tot_mub_per_fu": 3.21, "lattice_angstrom": [[3.8292, 0.0000, 0.0000], [0.0000, 4.2587, 0.0000], [-1.8497, 0.0000, 5.2786]], "species": ["Cr", "Ag", "Sb", "Sb"], "fractional_positions": [[0.0000, 0.0000, 0.0000], [0.8132, 0.5000, 0.6411], [0.2632, 0.0000, 0.5395], [0.5450, 0.5000, 0.0980]]}

---

(4)
{"formula": "Fe2CuMo", "functional": "PBE", "state": "relaxed", "e_tot_ev_per_atom": -7.800, "m_tot_mub_per_fu": 2.59, "lattice_angstrom": [[-1.8562, 1.8562, 3.5951], [1.8562, -1.8562, 3.5951], [1.8562, 1.8562, -3.5951]], "species": ["Fe", "Fe", "Cu", "Mo"], "fractional_positions": [[0.2500, 0.7500, 0.5000], [0.7500, 0.2500, 0.5000], [0.0000, 0.0000, 0.0000], [0.5000, 0.5000, 0.0000]]}

---

(5)
{"formula": "Zn2RuSe", "functional": "PBE", "state": "relaxed", "formation_energy_uncorrected_ev_per_atom": 0.209, "e_tot_ev_per_atom": -3.619, "m_tot_mub_per_fu": 0.00, "lattice_angstrom": [[3.0661, 0.0000, 0.0000], [0.0000, 4.6544, 0.0000], [-0.0135, 0.0000, 4.4591]], "species": ["Zn", "Zn", "Ru", "Se"], "fractional_positions": [[0.2376, 0.0000, 0.2691], [0.7624, 0.0000, 0.7309], [0.5000, 0.5000, 0.5000], [0.0000, 0.5000, 0.0000]]}

---

(6)
{"formula": "BaHf2ZnHg", "functional": "PBE", "state": "relaxed", "e_tot_ev_per_atom": -2.838, "m_tot_mub_per_fu": 0.00, "lattice_angstrom": [[5.4508, 0.0000, 0.0000], [0.0000, 5.4508, 0.0000], [0.0000, 0.0000, 5.4387]], "species": ["Ba", "Hf", "Hf", "Zn", "Hg"], "fractional_positions": [[0.0000, 0.0000, 0.0000], [0.0000, 0.5000, 0.0000], [0.5000, 0.0000, 0.0000], [0.0000, 0.0000, 0.5000], [0.5000, 0.5000, 0.5000]]}

---

(7)
{"formula": "KBeW", "functional": "PBE", "state": "relaxed", "e_tot_ev_per_atom": -2.847, "m_tot_mub_per_fu": 4.86, "lattice_angstrom": [[0.0000, 3.6481, 3.6481], [3.6481, 0.0000, 3.6481], [3.6481, 3.6481, 0.0000]], "species": ["K", "Be", "W"], "fractional_positions": [[0.0000, 0.0000, 0.0000], [0.2500, 0.2500, 0.2500], [0.7500, 0.7500, 0.7500]]}

---

(8)
{"formula": "Ac8Os2Pt3", "functional": "PBE", "state": "relaxed", "e_tot_ev_per_atom": -6.206, "m_tot_mub_per_fu": 0.00, "lattice_angstrom": [[7.6465, -4.4358, 0.0000], [7.6465, 4.4358, 0.0000], [-2.4883, 0.0000, 6.9407]], "species": ["Ac", "Ac", "Ac", "Ac", "Ac", "Ac", "Ac", "Ac", "Os", "Os", "Pt", "Pt", "Pt"], "fractional_positions": [[0.1046, 0.6298, 0.2306], [0.1213, 0.1213, 0.2378], [0.3702, 0.8954, 0.7694], [0.3724, 0.3724, 0.7819], [0.6276, 0.6276, 0.2181], [0.6298, 0.1046, 0.2306], [0.8787, 0.8787, 0.7622], [0.8954, 0.3702, 0.7694], [0.2548, 0.2548, 0.0206], [0.7452, 0.7452, 0.9794], [0.0000, 0.0000, 0.5000], [0.2522, 0.7478, 0.0000], [0.7478, 0.2522, 0.0000]]}

---

(9)
{"formula": "Ca3Ga9Ir2", "functional": "PBE", "state": "relaxed", "e_tot_ev_per_atom": -4.132, "m_tot_mub_per_fu": 0.00, "lattice_angstrom": [[-2.1360, 4.9549, 6.3288], [2.1360, -4.9549, 6.3288], [2.1360, 4.9549, -6.3288]], "species": ["Ca", "Ca", "Ca", "Ga", "Ga", "Ga", "Ga", "Ga", "Ga", "Ga", "Ga", "Ga", "Ir", "Ir"], "fractional_positions": [[0.0000, 0.0000, 0.0000], [0.3215, 0.3215, 0.0000], [0.6785, 0.6785, 0.0000], [0.0374, 0.6733, 0.3641], [0.1598, 0.8784, 0.2815], [0.3092, 0.6733, 0.6359], [0.4031, 0.1216, 0.2815], [0.5000, 0.0000, 0.5000], [0.5969, 0.8784, 0.7185], [0.6908, 0.3267, 0.3641], [0.8402, 0.1216, 0.7185], [0.9626, 0.3267, 0.6359], [0.2662, 0.5000, 0.7662], [0.7338, 0.5000, 0.2338]]}